1.
PBE-GGA HgBRu2F, relaxed; raw formation energy = 1523 meV/atom
1.0
4.083 0.000 0.000
0.000 4.083 0.000
0.000 0.000 5.053
Ru B Hg F
2 1 1 1
direct
0.000 0.500 0.000
0.500 0.000 0.000
0.500 0.500 0.500
0.000 0.000 0.500
0.000 0.000 0.000

=====

2.
PBE-GGA HgB2RuF, relaxed; raw formation energy = 1637 meV/atom
1.0
-2.943 -0.510 -2.492
-2.809 -1.072 3.538
-0.964 3.750 0.371
Ru B Hg F
1 2 1 1
direct
0.500 0.500 0.500
0.000 0.000 0.500
0.500 0.000 0.000
0.000 0.500 0.000
0.000 0.000 0.000

=====

3.
PBE-GGA ScHg2BF, relaxed; raw formation energy = 134 meV/atom
1.0
5.214 0.000 0.000
0.000 4.008 0.000
0.000 0.000 5.214
Sc B Hg F
1 1 2 1
direct
0.000 0.500 0.000
0.500 0.500 0.500
0.000 0.000 0.500
0.500 0.000 0.000
0.000 0.000 0.000

=====

4.
PBE-GGA Hg3BSe2F6, relaxed; raw formation energy = -1228 meV/atom
1.0
4.843 0.000 0.190
0.000 6.785 0.000
-0.472 -3.392 6.276
Hg B Se F
3 1 2 6
direct
0.000 0.500 0.000
0.500 0.500 0.500
0.500 0.000 0.500
0.500 0.000 0.000
0.099 0.700 0.400
0.901 0.300 0.600
0.670 0.287 0.166
0.330 0.713 0.834
0.721 0.935 0.871
0.279 0.065 0.129
0.330 0.121 0.834
0.670 0.879 0.166

=====

5.
PBE-GGA Tl2HgBF6, relaxed; raw formation energy = -1714 meV/atom
1.0
6.051 0.000 0.007
0.000 6.054 0.007
3.031 3.032 4.292
Tl Hg B F
2 1 1 6
direct
0.750 0.250 0.500
0.250 0.750 0.500
0.000 0.000 0.000
0.500 0.500 0.000
0.307 0.307 0.386
0.693 0.693 0.999
0.308 0.693 0.000
0.692 0.307 0.000
0.307 0.307 0.001
0.693 0.693 0.614

=====

6.
PBE-GGA B2I2F, relaxed; energy above the lowest structure with this stoichiometry = 0.0 meV per atom; raw formation energy = 827 meV/atom
1.0
-0.460 -3.969 -1.319
4.049 -0.089 -1.143
3.197 -3.891 3.881
I B F
2 2 1
direct
0.343 0.343 0.315
0.657 0.657 0.685
0.750 0.250 0.500
0.250 0.750 0.500
0.000 0.000 0.000

=====

no.,DFT total energy (eV per atom)
1,-3.957
2,-3.324
3,-2.962
4,-3.376
5,-4.008
6,-2.838